[1]
Density functional theory data (GGA-PBEsol) for a relaxed structure of Li2ZrMo.

Electronic total energy (eV/cell): -46.785
Calculated formation energy (meV per atom): 350

CIF file:
```
data_Li2ZrMo
_chemical_formula_sum 'Li4 Zr2 Mo2'
_cell_length_a 5.2587
_cell_length_b 10.4088
_cell_length_c 2.6823
_cell_angle_alpha 90.00
_cell_angle_beta 110.31
_cell_angle_gamma 90.00
_symmetry_space_group_name_H-M 'C 1 2/m 1'
_symmetry_Int_Tables_number 12
loop_
_symmetry_equiv_pos_as_xyz
'x,y,z'
'-x,-y,-z'
'-x,y,-z'
'x,-y,z'
'x+1/2,y+1/2,z'
'-x+1/2,-y+1/2,-z'
'-x+1/2,y+1/2,-z'
'x+1/2,-y+1/2,z'
loop_
_atom_site_label
_atom_site_type_symbol
_atom_site_fract_x
_atom_site_fract_y
_atom_site_fract_z
Li1 Li 0.2500 0.2500 0.0000
Zr1 Zr 0.0000 0.0000 0.5000
Mo1 Mo 0.0000 0.5000 0.5000
```



[2]
Density functional theory data (GGA-PBEsol) for a relaxed structure of P4WO12.

Electronic total energy (eV/cell): -533.943
Raw formation energy (eV/atom): -1.97

CIF file:
```
data_P4WO12
_chemical_formula_sum 'P16 W4 O48'
_cell_length_a 13.2477
_cell_length_b 8.0388
_cell_length_c 9.3651
_cell_angle_alpha 90.00
_cell_angle_beta 90.00
_cell_angle_gamma 90.00
_symmetry_space_group_name_H-M 'P b c n'
_symmetry_Int_Tables_number 60
loop_
_symmetry_equiv_pos_as_xyz
'x,y,z'
'-x,-y,-z'
'-x+1/2,-y+1/2,z+1/2'
'x+1/2,y+1/2,-z+1/2'
'x+1/2,-y+1/2,-z'
'-x+1/2,y+1/2,z'
'-x,y,-z+1/2'
'x,-y,z+1/2'
loop_
_atom_site_label
_atom_site_type_symbol
_atom_site_fract_x
_atom_site_fract_y
_atom_site_fract_z
P1 P 0.1475 0.0421 0.0180
P2 P 0.1502 0.3257 0.5028
W1 W 0.0000 0.1555 0.7500
O1 O 0.0719 0.0253 0.1386
O2 O 0.0751 0.3147 0.6257
O3 O 0.1115 0.1500 0.8955
O4 O 0.1315 0.4273 0.3766
O5 O 0.1778 0.1343 0.4581
O6 O 0.2449 0.1228 0.0841
```



| no. | relative energy among the computed polymorphs (kcal/mol of atoms) |
| --- | --- |
| 1 | 0.767 |
| 2 | 0.118 |